# 1
The following is a PBEsol calculation of AlTcRu after structural relaxation, from Alexandria.

Geometry as POSCAR:
```
AlTcRu
1.0
2.8675 0.0000 0.0000
0.0000 2.8675 0.0000
-1.4337 -1.4337 4.9192
Al Tc Ru
1 1 1
direct
0.0031 0.0031 0.0061 Al
0.3317 0.3317 0.6635 Tc
0.6652 0.6652 0.3304 Ru
```

Computed properties:
Energy in eV for the cell shown: -26.7
Crystal system: tetragonal
Space group: I4mm
Energy above the most stable polymorph in this dataset in eV/atom: 0.000
Energy of formation from the pure elements in eV per atom: -0.378
Magnetic moment in μB per formula unit: 0.0

=====

# 2
The following is a PBEsol calculation of LaZr2Cl after structural relaxation, from Alexandria.

Geometry as POSCAR:
```
LaZr2Cl
1.0
3.5588 -0.0332 0.0000
-0.1248 4.6724 0.0000
0.0000 0.0000 5.5895
Cl La Zr
1 1 2
direct
0.0000 0.5000 0.5000 Cl
0.5000 0.0000 0.5000 La
0.7779 0.7628 0.0000 Zr
0.2221 0.2372 0.0000 Zr
```

Computed properties:
Energy in eV for the cell shown: -26.5
Crystal system: monoclinic
Space group: P2/m
Energy above the most stable polymorph in this dataset in eV/atom: 0.000
E_form (uncorrected) in kJ per mole of atoms: -22.4
Magnetic moment in μB per formula unit: 0.0

=====

# 3
The following is a PBEsol calculation of CoRePb2 after structural relaxation, from Alexandria.

Geometry as POSCAR:
```
CoRePb2
1.0
4.6429 0.0000 0.0000
2.3214 4.0208 0.0000
2.3214 1.3403 3.7909
Pb Re Co
2 1 1
direct
0.7500 0.7500 0.7500 Pb
0.2500 0.2500 0.2500 Pb
0.5000 0.5000 0.5000 Re
0.0000 0.0000 0.0000 Co
```

Computed properties:
Energy in eV for the cell shown: -25.3
Crystal system: cubic
Space group: Fm-3m
Energy above the most stable polymorph in this dataset in eV/atom: 0.140
Energy of formation from the pure elements in eV per atom: 0.953
Magnetic moment in μB per formula unit: 0.0

=====

# 4
The following is a PBEsol calculation of Ca2HgPt after structural relaxation, from Alexandria.

Geometry as POSCAR:
```
Ca2HgPt
1.0
-2.2975 -2.7461 0.5492
3.4317 -3.2059 -1.6739
1.7551 -0.5414 4.6350
Ca Pt Hg
2 1 1
direct
0.0000 0.0000 0.5000 Ca
0.0000 0.5000 0.0000 Ca
0.5000 0.5000 0.5000 Pt
0.5000 0.0000 0.0000 Hg
```

Computed properties:
Energy in eV for the cell shown: -14.4
Crystal system: tetragonal
Space group: P4/mmm
Energy of formation from the pure elements in eV per atom: -0.661
Magnetic moment in μB per formula unit: 0.0

=====

# 5
The following is a PBEsol calculation of Li4TiS4 after structural relaxation, from Alexandria.

Geometry as POSCAR:
```
Li4TiS4
1.0
-2.9453 -1.7726 4.9937
2.3356 -7.2752 -1.2049
11.6505 2.4576 7.7438
S Li Ti
16 16 4
direct
0.2233 0.7500 0.9197 S
0.7799 0.9909 0.3431 S
0.7369 0.7500 0.0640 S
0.2631 0.2500 0.9360 S
0.7799 0.5091 0.3431 S
0.7767 0.2500 0.0803 S
0.7233 0.2500 0.5803 S
0.2799 0.4909 0.1569 S
0.2799 0.0091 0.1569 S
0.2369 0.2500 0.4360 S
0.7201 0.5091 0.8431 S
0.2201 0.4909 0.6569 S
0.2767 0.7500 0.4197 S
0.7631 0.7500 0.5641 S
0.7201 0.9909 0.8431 S
0.2201 0.0091 0.6569 S
0.6946 0.9983 0.1781 Li
0.1335 0.7500 0.0877 Li
0.5000 0.0000 0.0000 Li
0.6946 0.5017 0.1781 Li
0.1946 0.4983 0.3219 Li
0.1946 0.0017 0.3219 Li
0.5000 0.5000 0.0000 Li
0.8054 0.9983 0.6781 Li
0.3665 0.7500 0.5877 Li
0.0000 0.5000 0.5000 Li
0.0000 0.0000 0.5000 Li
0.8665 0.2500 0.9123 Li
0.3054 0.4983 0.8219 Li
0.3054 0.0017 0.8219 Li
0.8054 0.5017 0.6781 Li
0.6335 0.2500 0.4123 Li
0.1480 0.2500 0.0877 Ti
0.8520 0.7500 0.9123 Ti
0.3520 0.2500 0.5877 Ti
0.6480 0.7500 0.4123 Ti
```

Computed properties:
Energy in eV for the cell shown: -182.6
Crystal system: orthorhombic
Space group: Pnma
Energy above the most stable polymorph in this dataset in eV/atom: 0.000
E_form (uncorrected) in kJ per mole of atoms: -127.8
Magnetic moment in μB per formula unit: 0.0

=====

# 6
The following is a PBEsol calculation of ScRe2Au after structural relaxation, from Alexandria.

Geometry as POSCAR:
```
ScRe2Au
1.0
-2.9256 -0.1772 1.2334
-0.8599 -3.4440 -2.5345
3.4748 -1.0441 3.9929
Re Sc Au
2 1 1
direct
0.7508 0.7508 0.5015 Re
0.2492 0.2492 0.4985 Re
0.0000 0.5000 0.0000 Sc
0.5000 0.0000 0.0000 Au
```

Computed properties:
Energy in eV for the cell shown: -36.5
Crystal system: orthorhombic
Space group: Immm
Energy above the most stable polymorph in this dataset in eV/atom: 0.088
Energy of formation from the pure elements in eV per atom: 0.162
Magnetic moment in μB per formula unit: 0.0

=====

# 7
The following is a PBEsol calculation of SrTl2Br after structural relaxation, from Alexandria.

Geometry as POSCAR:
```
SrTl2Br
1.0
-3.4533 -2.2135 1.7249
2.9782 -2.1954 2.4720
-0.3041 6.6008 2.4587
Sr Br Tl
1 1 2
direct
0.5000 0.5000 0.0000 Sr
0.0000 0.0000 0.0000 Br
0.5000 0.0000 0.5000 Tl
0.0000 0.5000 0.5000 Tl
```

Computed properties:
Energy in eV for the cell shown: -11.7
Crystal system: orthorhombic
Space group: Fmmm
Energy above the most stable polymorph in this dataset in eV/atom: 0.000
E_form (uncorrected) in kJ per mole of atoms: -65.4
Magnetic moment in μB per formula unit: 0.0

=====

# 8
The following is a PBEsol calculation of NiCSe2N after structural relaxation, from Alexandria.

Geometry as POSCAR:
```
NiCSe2N
1.0
2.4853 0.0000 0.0000
0.0000 5.3834 0.0000
0.0000 0.0000 5.3834
C Se N Ni
1 2 1 1
direct
0.0000 0.0000 0.0000 C
0.0000 0.0000 0.5000 Se
0.0000 0.5000 0.0000 Se
0.5000 0.0000 0.0000 N
0.5000 0.5000 0.5000 Ni
```

Computed properties:
Energy in eV for the cell shown: -27.8
Crystal system: tetragonal
Space group: P4/mmm
E_form (uncorrected) in kJ per mole of atoms: 80.8
Magnetic moment in μB per formula unit: 0.5

=====

# 9
The following is a PBEsol calculation of La2TcCl after structural relaxation, from Alexandria.

Geometry as POSCAR:
```
La2TcCl
1.0
4.1659 0.0000 0.0000
0.0000 4.1659 0.0000
0.0000 0.0000 5.7775
Cl Tc La
1 1 2
direct
0.5000 0.5000 0.8717 Cl
0.0000 0.0000 0.3285 Tc
0.0000 0.0000 0.9265 La
0.5000 0.5000 0.3734 La
```

Computed properties:
Energy in eV for the cell shown: -26.8
Crystal system: tetragonal
Space group: P4mm
Energy above the most stable polymorph in this dataset in eV/atom: 0.025
E_form (uncorrected) in kJ per mole of atoms: -69.1
Magnetic moment in μB per formula unit: 0.0

=====

# 10
The following is a PBEsol calculation of Dy3Ge13Rh4 after structural relaxation, from Alexandria.

Geometry as POSCAR:
```
Dy3Ge13Rh4
1.0
8.8819 0.0000 0.0000
0.0000 8.8819 0.0000
0.0000 0.0000 8.8819
Ge Rh Dy
26 8 6
direct
0.5000 0.1904 0.3532 Ge
0.3532 0.5000 0.1904 Ge
0.3532 0.5000 0.8096 Ge
0.0000 0.8532 0.3096 Ge
0.0000 0.8532 0.6904 Ge
0.8096 0.3532 0.5000 Ge
0.5000 0.8096 0.3532 Ge
0.1904 0.3532 0.5000 Ge
0.6468 0.5000 0.1904 Ge
0.6468 0.5000 0.8096 Ge
0.0000 0.0000 0.0000 Ge
0.1904 0.6468 0.5000 Ge
0.8532 0.6904 0.0000 Ge
0.8096 0.6468 0.5000 Ge
0.1468 0.6904 0.0000 Ge
0.3096 0.0000 0.8532 Ge
0.0000 0.1468 0.6904 Ge
0.6904 0.0000 0.1468 Ge
0.5000 0.1904 0.6468 Ge
0.6904 0.0000 0.8532 Ge
0.3096 0.0000 0.1468 Ge
0.1468 0.3096 0.0000 Ge
0.0000 0.1468 0.3096 Ge
0.5000 0.5000 0.5000 Ge
0.5000 0.8096 0.6468 Ge
0.8532 0.3096 0.0000 Ge
0.2500 0.7500 0.7500 Rh
0.7500 0.2500 0.7500 Rh
0.7500 0.2500 0.2500 Rh
0.2500 0.2500 0.2500 Rh
0.2500 0.7500 0.2500 Rh
0.7500 0.7500 0.2500 Rh
0.2500 0.2500 0.7500 Rh
0.7500 0.7500 0.7500 Rh
0.0000 0.5000 0.2500 Dy
0.7500 0.0000 0.5000 Dy
0.5000 0.7500 0.0000 Dy
0.2500 0.0000 0.5000 Dy
0.5000 0.2500 0.0000 Dy
0.0000 0.5000 0.7500 Dy
```

Computed properties:
Energy in eV for the cell shown: -247.6
Crystal system: cubic
Space group: Pm-3n
Energy of formation from the pure elements in eV per atom: -0.605
Magnetic moment in μB per formula unit: 0.0

=====

# 11
The following is a PBEsol calculation of CsBi3Pt after structural relaxation, from Alexandria.

Geometry as POSCAR:
```
CsBi3Pt
1.0
-5.5248 0.5772 -0.1361
-0.3767 -4.4004 -3.3720
-0.4581 -3.3435 4.4144
Bi Cs Pt
3 1 1
direct
0.0000 0.5000 0.0000 Bi
0.5000 0.0000 0.0000 Bi
0.0000 0.0000 0.5000 Bi
0.5000 0.5000 0.5000 Cs
0.0000 0.0000 0.0000 Pt
```

Computed properties:
Energy in eV for the cell shown: -20.4
Crystal system: cubic
Space group: Pm-3m
Energy above the most stable polymorph in this dataset in eV/atom: 0.000
Energy of formation from the pure elements in eV per atom: 0.071
Magnetic moment in μB per formula unit: 0.0

=====

# 12
The following is a PBEsol calculation of TcSb2Se after structural relaxation, from Alexandria.

Geometry as POSCAR:
```
TcSb2Se
1.0
-0.5660 -0.9518 3.1154
4.8604 -0.2622 0.8029
-1.0984 4.6517 1.2217
Sb Tc Se
2 1 1
direct
0.0000 0.5000 0.0000 Sb
0.0000 0.0000 0.5000 Sb
0.5000 0.5000 0.5000 Tc
0.5000 0.0000 0.0000 Se
```

Computed properties:
Energy in eV for the cell shown: -22.4
Crystal system: orthorhombic
Space group: Cmmm
E_form (uncorrected) in kJ per mole of atoms: 44.0
Magnetic moment in μB per formula unit: 0.0